# Th4Ga2Sn

Th4Ga2Sn after structural relaxation (PBE-GGA, Alexandria via LeMat-Bulk).

DOS(E_F) = 6.27 states/eV per cell
formation energy = -213.3 meV/atom
M_tot = 0.00 μB/atom

Cell: 11.1384 11.1384 11.1384 Å, 24.66 24.66 24.66°
Sites, in units of the cell vectors:
Th 0.1142 0.1142 0.1142
Th 0.3020 0.3020 0.3020
Th 0.6980 0.6980 0.6980
Th 0.8858 0.8858 0.8858
Ga 0.4032 0.4032 0.4032
Ga 0.5968 0.5968 0.5968
Sn 0.5000 0.5000 0.5000